Record 1
# GGA-PBE BaHgSb2, optimized geometry
# energy relative to the elements, uncorrected = -0.36 eV per atom
# final energy = -0.219 Ry per atom
# calculated volume = 140.9 Å³/f.u.
# space group = Pmmm
# calculated density = 6.85 g/cm³
data_BaHgSb2
_chemical_formula_sum 'Ba1 Hg1 Sb2'
_cell_length_a 3.536
_cell_length_b 5.638
_cell_length_c 7.069
_cell_angle_alpha 90.00
_cell_angle_beta 90.00
_cell_angle_gamma 90.00
_symmetry_space_group_name_H-M 'P 1'
_symmetry_Int_Tables_number 1
loop_
_symmetry_equiv_pos_as_xyz
'x,y,z'
loop_
_atom_site_label
_atom_site_type_symbol
_atom_site_fract_x
_atom_site_fract_y
_atom_site_fract_z
Sb1 Sb 0.000 0.000 0.045
Sb2 Sb 0.000 0.000 0.455
Hg1 Hg 0.500 0.500 0.750
Ba1 Ba 0.500 0.500 0.250

=====

Record 2
# GGA-PBE Ba2Hg6Sb3, optimized geometry
# energy relative to the elements, uncorrected = -0.33 eV per atom
# final energy = -0.144 Ry per atom
# calculated volume = 340.5 Å³/f.u.
# space group = P-62m
# calculated density = 8.99 g/cm³
data_Ba2Hg6Sb3
_chemical_formula_sum 'Ba2 Hg6 Sb3'
_cell_length_a 4.633
_cell_length_b 9.212
_cell_length_c 9.212
_cell_angle_alpha 120.00
_cell_angle_beta 90.00
_cell_angle_gamma 90.00
_symmetry_space_group_name_H-M 'P 1'
_symmetry_Int_Tables_number 1
loop_
_symmetry_equiv_pos_as_xyz
'x,y,z'
loop_
_atom_site_label
_atom_site_type_symbol
_atom_site_fract_x
_atom_site_fract_y
_atom_site_fract_z
Sb1 Sb 0.500 0.000 0.597
Sb2 Sb 0.500 0.597 0.000
Sb3 Sb 0.500 0.403 0.403
Hg1 Hg 0.500 0.280 0.000
Hg2 Hg 0.500 0.720 0.720
Hg3 Hg 0.000 0.000 0.810
Hg4 Hg 0.500 0.000 0.280
Hg5 Hg 0.000 0.810 0.000
Hg6 Hg 0.000 0.190 0.190
Ba1 Ba 0.000 0.333 0.667
Ba2 Ba 0.000 0.667 0.333

=====

Record 3
# GGA-PBE Ba2HgSb3, optimized geometry
# energy relative to the elements, uncorrected = -0.68 eV per atom
# final energy = -0.252 Ry per atom
# calculated volume = 213.2 Å³/f.u.
# space group = Pnma
# calculated density = 6.55 g/cm³
data_Ba2HgSb3
_chemical_formula_sum 'Ba8 Hg4 Sb12'
_cell_length_a 4.957
_cell_length_b 7.883
_cell_length_c 21.829
_cell_angle_alpha 90.00
_cell_angle_beta 90.00
_cell_angle_gamma 90.00
_symmetry_space_group_name_H-M 'P 1'
_symmetry_Int_Tables_number 1
loop_
_symmetry_equiv_pos_as_xyz
'x,y,z'
loop_
_atom_site_label
_atom_site_type_symbol
_atom_site_fract_x
_atom_site_fract_y
_atom_site_fract_z
Sb1 Sb 0.250 0.017 0.164
Sb2 Sb 0.750 0.776 0.454
Sb3 Sb 0.750 0.276 0.046
Sb4 Sb 0.250 0.724 0.954
Sb5 Sb 0.250 0.517 0.336
Sb6 Sb 0.250 0.661 0.185
Sb7 Sb 0.750 0.983 0.836
Sb8 Sb 0.750 0.839 0.685
Sb9 Sb 0.250 0.224 0.546
Sb10 Sb 0.750 0.339 0.815
Sb11 Sb 0.750 0.483 0.664
Sb12 Sb 0.250 0.161 0.315
Hg1 Hg 0.750 0.027 0.565
Hg2 Hg 0.250 0.973 0.435
Hg3 Hg 0.750 0.527 0.935
Hg4 Hg 0.250 0.473 0.065
Ba1 Ba 0.250 0.687 0.572
Ba2 Ba 0.750 0.813 0.072
Ba3 Ba 0.250 0.667 0.790
Ba4 Ba 0.250 0.187 0.928
Ba5 Ba 0.750 0.833 0.290
Ba6 Ba 0.750 0.333 0.210
Ba7 Ba 0.750 0.313 0.428
Ba8 Ba 0.250 0.167 0.710

=====

Record 4
# GGA-PBE BaHgSb2, optimized geometry
# energy relative to the elements, uncorrected = -0.47 eV per atom
# final energy = -0.227 Ry per atom
# calculated volume = 130.7 Å³/f.u.
# space group = C2/m
# calculated density = 7.39 g/cm³
data_BaHgSb2
_chemical_formula_sum 'Ba2 Hg2 Sb4'
_cell_length_a 5.139
_cell_length_b 5.139
_cell_length_c 10.566
_cell_angle_alpha 104.33
_cell_angle_beta 104.33
_cell_angle_gamma 89.93
_symmetry_space_group_name_H-M 'P 1'
_symmetry_Int_Tables_number 1
loop_
_symmetry_equiv_pos_as_xyz
'x,y,z'
loop_
_atom_site_label
_atom_site_type_symbol
_atom_site_fract_x
_atom_site_fract_y
_atom_site_fract_z
Sb1 Sb 0.000 0.500 0.000
Sb2 Sb 0.607 0.607 0.211
Sb3 Sb 0.393 0.393 0.789
Sb4 Sb 0.500 0.000 0.000
Hg1 Hg 0.247 0.753 0.500
Hg2 Hg 0.753 0.247 0.500
Ba1 Ba 0.122 0.122 0.240
Ba2 Ba 0.878 0.878 0.760

=====

Record 5
# GGA-PBE Ba3Hg4Sb4, optimized geometry
# energy relative to the elements, uncorrected = -0.55 eV per atom
# final energy = -0.198 Ry per atom
# energy relative to the lowest polymorph listed for this composition = 0 meV/atom
# calculated volume = 374.3 Å³/f.u.
# space group = P-1
# calculated density = 7.55 g/cm³
data_Ba3Hg4Sb4
_chemical_formula_sum 'Ba3 Hg4 Sb4'
_cell_length_a 5.176
_cell_length_b 4.994
_cell_length_c 14.839
_cell_angle_alpha 80.29
_cell_angle_beta 82.05
_cell_angle_gamma 90.05
_symmetry_space_group_name_H-M 'P 1'
_symmetry_Int_Tables_number 1
loop_
_symmetry_equiv_pos_as_xyz
'x,y,z'
loop_
_atom_site_label
_atom_site_type_symbol
_atom_site_fract_x
_atom_site_fract_y
_atom_site_fract_z
Ba1 Ba 0.000 0.000 0.000
Ba2 Ba 0.130 0.652 0.695
Ba3 Ba 0.871 0.348 0.305
Sb1 Sb 0.302 0.809 0.383
Sb2 Sb 0.605 0.548 0.903
Sb3 Sb 0.698 0.191 0.617
Sb4 Sb 0.395 0.452 0.097
Hg1 Hg 0.574 0.905 0.191
Hg2 Hg 0.253 0.248 0.504
Hg3 Hg 0.426 0.095 0.809
Hg4 Hg 0.747 0.752 0.496

=====

Record 6
# GGA-PBE BaHgSb3, optimized geometry
# energy relative to the elements, uncorrected = -0.33 eV per atom
# final energy = -0.239 Ry per atom
# energy relative to the lowest polymorph listed for this composition = 0 meV/atom
# calculated volume = 167.0 Å³/f.u.
# space group = Pmn2_1
# calculated density = 6.99 g/cm³
data_BaHgSb3
_chemical_formula_sum 'Ba2 Hg2 Sb6'
_cell_length_a 6.946
_cell_length_b 7.040
_cell_length_c 6.829
_cell_angle_alpha 89.98
_cell_angle_beta 90.00
_cell_angle_gamma 90.00
_symmetry_space_group_name_H-M 'P 1'
_symmetry_Int_Tables_number 1
loop_
_symmetry_equiv_pos_as_xyz
'x,y,z'
loop_
_atom_site_label
_atom_site_type_symbol
_atom_site_fract_x
_atom_site_fract_y
_atom_site_fract_z
Ba1 Ba 0.967 0.913 0.201
Ba2 Ba 0.467 0.440 0.701
Sb1 Sb 0.988 0.441 0.464
Sb2 Sb 0.806 0.082 0.701
Sb3 Sb 0.306 0.271 0.201
Sb4 Sb 0.988 0.441 0.937
Sb5 Sb 0.488 0.912 0.964
Sb6 Sb 0.488 0.912 0.438
Hg1 Hg 0.129 0.806 0.701
Hg2 Hg 0.629 0.547 0.201

=====

Record 7
# GGA-PBE Ba3HgSb, optimized geometry
# energy relative to the elements, uncorrected = -0.38 eV per atom
# final energy = -0.178 Ry per atom
# energy relative to the lowest polymorph listed for this composition = 0 meV/atom
# calculated volume = 299.8 Å³/f.u.
# space group = Pm-3m
# calculated density = 4.07 g/cm³
data_Ba3HgSb
_chemical_formula_sum 'Ba3 Hg1 Sb1'
_cell_length_a 6.693
_cell_length_b 6.693
_cell_length_c 6.693
_cell_angle_alpha 90.00
_cell_angle_beta 90.00
_cell_angle_gamma 90.00
_symmetry_space_group_name_H-M 'P 1'
_symmetry_Int_Tables_number 1
loop_
_symmetry_equiv_pos_as_xyz
'x,y,z'
loop_
_atom_site_label
_atom_site_type_symbol
_atom_site_fract_x
_atom_site_fract_y
_atom_site_fract_z
Ba1 Ba 0.000 0.500 0.000
Ba2 Ba 0.500 0.000 0.000
Ba3 Ba 0.000 0.000 0.500
Sb1 Sb 0.000 0.000 0.000
Hg1 Hg 0.500 0.500 0.500

=====

Record 8
# GGA-PBE Ba2HgSbSe4, optimized geometry
# energy relative to the elements, uncorrected = -0.93 eV per atom
# final energy = -0.273 Ry per atom
# calculated volume = 256.2 Å³/f.u.
# space group = Imma
# calculated density = 5.92 g/cm³
data_Ba2HgSbSe4
_chemical_formula_sum 'Ba4 Hg2 Sb2 Se8'
_cell_length_a 8.989
_cell_length_b 8.989
_cell_length_c 8.968
_cell_angle_alpha 119.92
_cell_angle_beta 119.92
_cell_angle_gamma 90.31
_symmetry_space_group_name_H-M 'P 1'
_symmetry_Int_Tables_number 1
loop_
_symmetry_equiv_pos_as_xyz
'x,y,z'
loop_
_atom_site_label
_atom_site_type_symbol
_atom_site_fract_x
_atom_site_fract_y
_atom_site_fract_z
Ba1 Ba 0.500 0.500 0.000
Ba2 Ba 0.500 0.000 0.500
Ba3 Ba 0.000 0.000 0.500
Ba4 Ba 0.500 0.000 0.000
Se1 Se 0.249 0.251 0.025
Se2 Se 0.249 0.251 0.475
Se3 Se 0.781 0.245 0.013
Se4 Se 0.255 0.719 0.487
Se5 Se 0.219 0.755 0.987
Se6 Se 0.751 0.749 0.975
Se7 Se 0.745 0.281 0.513
Se8 Se 0.751 0.749 0.525
Sb1 Sb 0.000 0.000 0.000
Sb2 Sb 0.500 0.500 0.500
Hg1 Hg 0.000 0.500 0.500
Hg2 Hg 0.000 0.500 0.000

=====

no.,total magnetization (μB per atom)
1,0.000
2,0.000
3,0.000
4,0.000
5,0.000
6,0.000
7,0.000
8,0.000